1.
Ba3Li2Ag2Bi4: optimized geometry, GGA-PBE.

- E (hartree per atom) = -0.1228
- DFT formation energy (eV/f.u.) = -5.9
- total magnetization (Bohr magnetons per cell) = 0.000

Cell: 4.9828 4.9828 17.2285 Å, 90.00 90.00 120.00°
Closest atoms and distances in Å follow each position.
Element x y z (fractional)
1 Ba 0.0000 0.0000 0.7264  6 Bi 3.64-3.73, 3 Li 3.70, 3 Ag 3.89
2 Ba 0.0000 0.0000 0.0000  6 Bi 3.71, 6 Li 3.74
3 Ba 0.0000 0.0000 0.2736  6 Bi 3.64-3.73, 3 Li 3.70, 3 Ag 3.89
4 Li 0.6667 0.3333 0.8617  3 Bi 2.88
5 Li 0.3333 0.6667 0.1383  3 Bi 2.88
6 Ag 0.6667 0.3333 0.4257  4 Bi 2.90-2.94
7 Ag 0.3333 0.6667 0.5743  4 Bi 2.90-2.94
8 Bi 0.6667 0.3333 0.1357  3 Li 2.88
9 Bi 0.3333 0.6667 0.8643  3 Li 2.88
10 Bi 0.6667 0.3333 0.5966  4 Ag 2.90-2.94
11 Bi 0.3333 0.6667 0.4034  4 Ag 2.90-2.94

***

2.
BaMgAgBi2: optimized geometry, GGA-PBE.

- E (hartree per atom) = -0.1211
- DFT formation energy (eV/f.u.) = -2.3
- total magnetization (Bohr magnetons per cell) = 0.000

Cell: 4.6989 4.6989 7.8579 Å, 107.40 107.40 90.00°
Closest atoms and distances in Å follow each position.
Element x y z (fractional)
1 Ba 0.0000 0.0000 0.0000  8 Bi 3.74
2 Mg 0.7500 0.2500 0.5000  4 Bi 2.99, 4 Ag 3.32
3 Ag 0.2500 0.7500 0.5000  4 Bi 2.99, 4 Mg 3.32
4 Bi 0.6205 0.6205 0.2409  2 Mg 2.99, 2 Ag 2.99
5 Bi 0.3795 0.3795 0.7591  2 Ag 2.99, 2 Mg 2.99

***

3.
Ba2AgBiN: optimized geometry, GGA-PBE.

- E (hartree per atom) = -0.1521
- formation energy (no corrections) (eV/atom) = -0.36
- total magnetization (Bohr magnetons per cell) = 0.001

Cell: 5.9448 5.9448 4.2087 Å, 90.00 90.00 90.00°
Closest atoms and distances in Å follow each position.
Element x y z (fractional)
1 N 0.0000 0.0000 0.0000  2 Ag 2.10
2 Bi 0.5000 0.5000 0.5000  8 Ba 3.64
3 Ag 0.0000 0.0000 0.5000  2 N 2.10
4 Ba 0.0000 0.5000 0.0000  2 N 2.97
5 Ba 0.5000 0.0000 0.0000  2 N 2.97

***

4.
Ba2NbAgBi: optimized geometry, GGA-PBE.

- E (hartree per atom) = -0.1273
- DFT formation energy (eV/f.u.) = 3.3
- total magnetization (Bohr magnetons per cell) = 0.000

Cell: 6.0139 5.1752 6.0139 Å, 90.00 90.00 90.00°
Closest atoms and distances in Å follow each position.
Element x y z (fractional)
1 Nb 0.0000 0.0000 0.0000  2 Ag 2.59
2 Bi 0.5000 0.5000 0.5000  8 Ba 3.97, 4 Ag 4.25
3 Ag 0.0000 0.5000 0.0000  2 Nb 2.59
4 Ba 0.0000 0.0000 0.5000  2 Nb 3.01
5 Ba 0.5000 0.0000 0.0000  2 Nb 3.01

***

5.
BaAg2Bi2O6: optimized geometry, GGA-PBE.

- E (hartree per atom) = -0.1890
- formation energy (no corrections) (eV/atom) = -1.04
- total magnetization (Bohr magnetons per cell) = 0.000

Cell: 6.3633 7.0667 7.4489 Å, 126.54 77.22 75.96°
Closest atoms and distances in Å follow each position.
Element x y z (fractional)
1 Ba 0.5000 0.0000 0.5000  6 O 2.69-2.76
2 Ag 0.1020 0.7011 0.7012  2 O 2.08
3 Ag 0.8980 0.2989 0.2988  2 O 2.08
4 Bi 0.8183 0.3424 0.8395  6 O 2.21-2.37
5 Bi 0.1817 0.6576 0.1605  6 O 2.21-2.37
6 O 0.4879 0.7264 0.0561  2 Bi 2.21
7 O 0.8984 0.4956 0.1747  1 Ag 2.08, 1 Bi 2.30
8 O 0.1182 0.8888 0.5688  1 Ag 2.08, 1 Bi 2.30
9 O 0.1016 0.5044 0.8253  1 Ag 2.08, 1 Bi 2.30
10 O 0.8818 0.1112 0.4312  1 Ag 2.08, 1 Bi 2.30
11 O 0.5121 0.2736 0.9439  2 Bi 2.21

***

6.
Ba3AgBi2O9: optimized geometry, GGA-PBE.

- E (hartree per atom) = -0.2071
- formation energy (no corrections) (eV/atom) = -1.57
- total magnetization (Bohr magnetons per cell) = 0.000

Cell: 6.1113 6.1113 7.5284 Å, 90.00 90.00 120.00°
Closest atoms and distances in Å follow each position.
Element x y z (fractional)
1 Ba 0.3333 0.6667 0.6542  12 O 2.99-3.14
2 Ba 0.0000 0.0000 0.0000  12 O 3.06-3.07
3 Ba 0.6667 0.3333 0.3458  12 O 2.99-3.14
4 Ag 0.0000 0.0000 0.5000  6 O 2.17
5 Bi 0.3333 0.6667 0.1714  6 O 2.14-2.19
6 Bi 0.6667 0.3333 0.8286  6 O 2.14-2.19
7 O 0.8331 0.1669 0.6663  1 Bi 2.14, 1 Ag 2.17
8 O 0.8331 0.6662 0.6663  1 Bi 2.14, 1 Ag 2.17
9 O 0.3338 0.1669 0.6663  1 Bi 2.14, 1 Ag 2.17
10 O 0.6662 0.8331 0.3337  1 Bi 2.14, 1 Ag 2.17
11 O 0.1669 0.3338 0.3337  1 Bi 2.14, 1 Ag 2.17
12 O 0.1669 0.8331 0.3337  1 Bi 2.14, 1 Ag 2.17
13 O 0.5000 0.0000 0.0000  2 Bi 2.19
14 O 0.0000 0.5000 0.0000  2 Bi 2.19
15 O 0.5000 0.5000 0.0000  2 Bi 2.19

***

7.
Ba7AgBi2O2: optimized geometry, GGA-PBE.

- E (hartree per atom) = -0.1493
- formation energy (no corrections) (eV/atom) = -1.23
- total magnetization (Bohr magnetons per cell) = 0.644

Cell: 5.3885 5.3885 15.7057 Å, 80.13 80.13 90.01°
Closest atoms and distances in Å follow each position.
Element x y z (fractional)
1 Ba 0.5000 0.5000 0.0000  2 O 2.79
2 Ba 0.2978 0.2978 0.4050  1 O 3.38, 1 Bi 3.58
3 Ba 0.7022 0.7022 0.5950  1 O 3.38, 1 Bi 3.58
4 Ba 0.9040 0.4040 0.1923  2 O 2.70
5 Ba 0.4040 0.9040 0.1923  2 O 2.70
6 Ba 0.5960 0.0960 0.8077  2 O 2.70
7 Ba 0.0960 0.5960 0.8077  2 O 2.70
8 Ag 0.0000 0.0000 0.0000  12 Ba 3.81-3.98
9 Bi 0.8203 0.8203 0.3602  9 Ba 3.58-3.87
10 Bi 0.1797 0.1797 0.6398  9 Ba 3.58-3.87
11 O 0.5913 0.5913 0.8171  5 Ba 2.70-2.79
12 O 0.4087 0.4087 0.1829  5 Ba 2.70-2.79

***

8.
Ba2AgBiP: optimized geometry, GGA-PBE.

- E (hartree per atom) = -0.1397
- DFT formation energy (eV/f.u.) = -3.0
- total magnetization (Bohr magnetons per cell) = 0.000

Cell: 6.3130 6.3130 4.6703 Å, 90.00 90.00 90.00°
Closest atoms and distances in Å follow each position.
Element x y z (fractional)
1 P 0.0000 0.0000 0.0000  2 Ag 2.34
2 Bi 0.5000 0.5000 0.5000  8 Ba 3.93
3 Ag 0.0000 0.0000 0.5000  2 P 2.34
4 Ba 0.0000 0.5000 0.0000  2 P 3.16
5 Ba 0.5000 0.0000 0.0000  2 P 3.16

***

Theoretical density values, unit g/cm3, following the record order: 6.62; 7.26; 6.76; 6.07; 6.24; 7.38; 5.70; 5.55.